Crystalline Pm2BiC at its relaxed geometry, computed with PBE.

```
Pm2BiC
1.0
3.771 0.000 0.000
1.885 3.266 0.000
1.885 1.089 8.148
Bi Pm C
1 2 1
direct
0.500 0.500 0.500
0.724 0.724 0.829
0.276 0.276 0.171
0.000 0.000 0.000
```

Properties
Crystal system = trigonal
DFT formation energy = -1.86 eV/f.u.
Space group = R-3m (166)
Offset from the most stable computed form = 0.0 meV per atom
Total magnetic moment = 0.0 μB/f.u.
E = -6.12 eV per atom